Compound: KPmCoO4
Source: Alexandria via LeMat-Bulk
Functional: PBE+U
Structure: relaxed

Properties
total energy	-87.9	eV/cell
calculated volume	245.3	Å³ per cell

```
data_KPmCoO4
_chemical_formula_sum 'K2 Pm2 Co2 O8'
_cell_length_a 5.869
_cell_length_b 5.829
_cell_length_c 7.449
_cell_angle_alpha 90.00
_cell_angle_beta 105.72
_cell_angle_gamma 90.00
_space_group_name_H-M_alt 'P 1 21/m 1'
_space_group_IT_number 11
_space_group_name_Hall '-P 2yb'
loop_
_atom_site_label
_atom_site_fract_x
_atom_site_fract_y
_atom_site_fract_z
K1 0.202 0.250 0.424
Pm1 0.291 0.250 0.949
Co1 0.247 0.750 0.171
O1 0.048 0.750 0.313
O2 0.057 0.750 0.939
O3 0.455 0.514 0.187
```